# 1
This record from the Alexandria database describes Ta4NbSn after structural relaxation. The functional is PBE.

POSCAR file:
```
Ta4NbSn
1.0
3.555 0.000 0.003
1.773 5.006 1.583
-0.004 -0.011 6.360
Ta Sn Nb
4 1 1
Direct
0.836 0.826 0.660
0.829 0.840 0.182
0.172 0.151 0.822
0.166 0.165 0.344
0.501 0.495 0.002
0.501 0.495 0.502
```

Values from the calculation:
Size of the total moment   0.00 μB/cell
N(E_F)   0.917 states/eV/atom
Space-group type   C2/m (12)
Calculated total energy   -61.51 eV per cell



# 2
This record from the Alexandria database describes TaNbSn2 after structural relaxation. The functional is PBE.

POSCAR file:
```
TaNbSn2
1.0
-1.531 5.250 -3.240
-5.237 0.658 3.542
-0.174 6.423 4.254
Nb Sn Ta
2 4 2
Direct
0.250 0.750 0.500
0.500 0.500 0.000
0.875 0.877 0.750
0.375 0.373 0.750
0.123 0.625 0.250
0.627 0.125 0.250
0.000 0.000 0.000
0.750 0.250 0.500
```

Values from the calculation:
Size of the total moment   0.82 μB/cell
N(E_F)   1.346 states/eV/atom
Space-group type   I-42d (122)
Polymorph energy (0 for the lowest one)   1.226 eV/atom
Calculated total energy   -48.24 eV per cell



# 3
This record from the Alexandria database describes Ta6Nb5Sn after structural relaxation. The functional is PBE.

POSCAR file:
```
Ta6Nb5Sn
1.0
4.516 -0.004 -1.312
-2.588 6.770 -0.528
-0.345 0.814 7.213
Ta Nb Sn
6 5 1
Direct
0.254 0.754 0.754
0.254 0.424 0.084
0.746 0.246 0.246
0.746 0.576 0.916
0.254 0.084 0.424
0.746 0.916 0.576
0.000 0.666 0.334
0.000 0.334 0.666
0.500 0.174 0.826
0.500 0.826 0.174
0.500 0.500 0.500
0.000 0.000 0.000
```

Values from the calculation:
Size of the total moment   0.00 μB/cell
N(E_F)   1.245 states/eV/atom
Space-group type   C2/m (12)
Calculated total energy   -125.65 eV per cell



# 4
This record from the Alexandria database describes Ta3Nb2Sn after structural relaxation. The functional is PBE.

POSCAR file:
```
Ta3Nb2Sn
1.0
2.357 7.032 0.893
-2.357 7.032 0.893
0.000 3.811 7.306
Ta Sn Nb
6 2 4
Direct
0.618 0.618 0.380
0.039 0.039 0.624
0.295 0.295 0.384
0.961 0.961 0.376
0.382 0.382 0.620
0.705 0.705 0.616
0.135 0.135 0.869
0.865 0.865 0.131
0.462 0.462 0.866
0.213 0.213 0.129
0.787 0.787 0.871
0.538 0.538 0.134
```

Values from the calculation:
Size of the total moment   0.00 μB/cell
N(E_F)   1.030 states/eV/atom
Space-group type   C2/m (12)
Calculated total energy   -119.57 eV per cell